Record 1
DFT (PBE) results for an optimized crystal structure of Ce2Sm2GaGe4.

As for the crystal system: tetragonal. The formation energy is -0.302 eV per atom.

Cell and atoms, written as POSCAR:
```
Ce2Sm2GaGe4
1.0
-3.563 3.563 4.346
3.563 -3.563 4.346
3.563 3.563 -4.346
Ce Sm Ga Ge
2 2 1 4
direct
0.182 0.182 0.000
0.818 0.818 0.000
0.250 0.750 0.500
0.750 0.250 0.500
0.500 0.500 0.000
0.253 0.253 0.505
0.253 0.747 0.000
0.747 0.253 0.000
0.747 0.747 0.495
```

Record 2
DFT (PBE) results for an optimized crystal structure of CeSmGaGe.

As for the crystal system: orthorhombic. The energy above the most stable polymorph in this dataset is 0.0 meV/atom. The formation energy is -0.680 eV per atom.

Cell and atoms, written as POSCAR:
```
CeSmGaGe
1.0
4.077 0.000 0.000
0.000 2.203 5.570
0.000 -2.203 5.570
Ce Sm Ga Ge
1 1 1 1
direct
0.000 0.000 0.000
0.500 0.717 0.717
0.500 0.432 0.432
0.000 0.282 0.282
```

Record 3
DFT (PBE) results for an optimized crystal structure of CeGaSnGe.

As for the crystal system: orthorhombic. The formation energy is -0.529 eV per atom.

Cell and atoms, written as POSCAR:
```
CeGaSnGe
1.0
4.299 0.000 0.000
0.000 4.473 0.000
0.000 0.000 4.629
Ce Ga Sn Ge
1 1 1 1
direct
0.000 0.000 0.000
0.500 0.000 0.500
0.000 0.500 0.500
0.500 0.500 0.000
```

Record 4
DFT (PBE) results for an optimized crystal structure of TbCeGaGe.

As for the crystal system: orthorhombic. The energy above the most stable polymorph in this dataset is 0.0 meV/atom. The formation energy is -0.685 eV per atom.

Cell and atoms, written as POSCAR:
```
TbCeGaGe
1.0
4.046 0.000 0.000
0.000 2.186 5.513
0.000 -2.186 5.513
Tb Ce Ga Ge
1 1 1 1
direct
0.000 0.000 0.000
0.500 0.718 0.718
0.000 0.286 0.286
0.500 0.438 0.438
```

| no. | E (eV per cell) |
| --- | --- |
| 1 | -45.52 |
| 2 | -21.02 |
| 3 | -19.70 |
| 4 | -20.95 |